(1)
Here is an optimized crystal structure of Li2BeW from Alexandria via LeMat-Bulk. Energies are from PBE. Values from VASP.

Values from the calculation:
**D(E_F)**: 3.65 states/eV per cell
**Total energy**: -4.745 eV per atom
**Total moment**: 0.00 μB/atom
**Formation energy from the elements**: 36.8 kJ per mole of atoms

```
&SYSTEM
  ibrav = 0, nat = 4, ntyp = 3
/
ATOMIC_SPECIES
Li 6.94 Li.upf
Be 9.01 Be.upf
W 183.84 W.upf
CELL_PARAMETERS angstrom
1.361 0.786 9.306
-1.361 0.786 9.306
0.000 -1.571 9.306
ATOMIC_POSITIONS angstrom
Li 0.000 0.000 0.000
Li 0.000 0.000 6.735
Be 0.000 0.000 13.822
W 0.000 0.000 21.094
```

(2)
Here is an optimized crystal structure of Li2BeW from Alexandria via LeMat-Bulk. Energies are from PBE. Values from VASP.

Values from the calculation:
**D(E_F)**: 2.79 states/eV per cell
**Total energy**: -4.580 eV per atom
**Total moment**: 0.00 μB/atom
**Formation energy from the elements**: 52.7 kJ per mole of atoms

```
&SYSTEM
  ibrav = 0, nat = 4, ntyp = 3
/
ATOMIC_SPECIES
Li 6.94 Li.upf
Be 9.01 Be.upf
W 183.84 W.upf
CELL_PARAMETERS angstrom
2.485 0.000 0.000
0.000 4.429 0.000
0.000 0.000 4.931
ATOMIC_POSITIONS angstrom
Li 0.000 0.000 1.197
Li 0.000 0.000 3.734
Be 1.242 2.215 0.000
W 1.242 2.215 2.465
```

(3)
Here is an optimized crystal structure of Li2BeW from Alexandria via LeMat-Bulk. Energies are from PBE. Values from VASP.

Values from the calculation:
**D(E_F)**: 2.06 states/eV per cell
**Total energy**: -4.700 eV per atom
**Total moment**: 0.00 μB/atom
**Formation energy from the elements**: 41.1 kJ per mole of atoms

```
&SYSTEM
  ibrav = 0, nat = 4, ntyp = 3
/
ATOMIC_SPECIES
Li 6.94 Li.upf
Be 9.01 Be.upf
W 183.84 W.upf
CELL_PARAMETERS angstrom
1.431 -2.149 0.000
1.431 2.149 0.000
0.000 0.000 9.241
ATOMIC_POSITIONS angstrom
Li 0.000 0.000 2.162
Li 0.000 0.000 7.079
Be 1.431 0.000 0.000
W 1.431 0.000 4.621
```

(4)
Here is an optimized crystal structure of LiBeW from Alexandria via LeMat-Bulk. Energies are from PBE. Values from VASP.

Values from the calculation:
**Relative energy among the computed polymorphs**: 11.9 kJ/mol of atoms
**D(E_F)**: 2.47 states/eV per cell
**Total energy**: -5.765 eV per atom
**Total moment**: 0.00 μB/atom
**Formation energy from the elements**: 41.7 kJ per mole of atoms

```
&SYSTEM
  ibrav = 0, nat = 3, ntyp = 3
/
ATOMIC_SPECIES
Li 6.94 Li.upf
Be 9.01 Be.upf
W 183.84 W.upf
CELL_PARAMETERS angstrom
2.693 0.000 0.000
-1.346 2.332 0.000
0.000 0.000 6.752
ATOMIC_POSITIONS angstrom
Li 0.000 0.000 0.000
Be 0.000 1.555 4.531
W 1.346 0.777 2.479
```

(5)
Here is an optimized crystal structure of LiBeW from Alexandria via LeMat-Bulk. Energies are from PBE. Values from VASP.

Values from the calculation:
**Relative energy among the computed polymorphs**: 24.2 kJ/mol of atoms
**D(E_F)**: 1.43 states/eV per cell
**Total energy**: -5.638 eV per atom
**Total moment**: 0.00 μB/atom
**Formation energy from the elements**: 54.0 kJ per mole of atoms

```
&SYSTEM
  ibrav = 0, nat = 3, ntyp = 3
/
ATOMIC_SPECIES
Li 6.94 Li.upf
Be 9.01 Be.upf
W 183.84 W.upf
CELL_PARAMETERS angstrom
3.927 0.000 0.000
-1.963 3.401 0.000
0.000 0.000 2.690
ATOMIC_POSITIONS angstrom
Li 0.000 0.000 0.000
Be 1.963 1.134 0.000
W 0.000 2.267 1.345
```

(6)
Here is an optimized crystal structure of Li2BeW from Alexandria via LeMat-Bulk. Energies are from PBE. Values from VASP.

Values from the calculation:
**D(E_F)**: 2.59 states/eV per cell
**Total energy**: -4.575 eV per atom
**Total moment**: 0.00 μB/atom
**Formation energy from the elements**: 53.3 kJ per mole of atoms

```
&SYSTEM
  ibrav = 0, nat = 4, ntyp = 3
/
ATOMIC_SPECIES
Li 6.94 Li.upf
Be 9.01 Be.upf
W 183.84 W.upf
CELL_PARAMETERS angstrom
-1.245 2.369 4.608
1.245 -2.369 4.608
1.245 2.369 -4.608
ATOMIC_POSITIONS angstrom
Li 0.000 0.000 0.000
Li 0.000 2.369 2.268
Be 0.000 0.000 4.789
W 1.245 0.000 2.664
```

(7)
Here is an optimized crystal structure of Li2BeW from Alexandria via LeMat-Bulk. Energies are from PBE. Values from VASP.

Values from the calculation:
**D(E_F)**: 2.57 states/eV per cell
**Total energy**: -4.871 eV per atom
**Total moment**: 0.00 μB/atom
**Formation energy from the elements**: 24.6 kJ per mole of atoms

```
&SYSTEM
  ibrav = 0, nat = 4, ntyp = 3
/
ATOMIC_SPECIES
Li 6.94 Li.upf
Be 9.01 Be.upf
W 183.84 W.upf
CELL_PARAMETERS angstrom
2.678 0.000 0.000
0.000 2.678 0.000
0.000 0.000 7.894
ATOMIC_POSITIONS angstrom
Li 0.000 0.000 0.000
Li 1.339 1.339 2.325
Be 1.339 1.339 6.201
W 0.000 0.000 4.561
```

(8)
Here is an optimized crystal structure of Li2BeW from Alexandria via LeMat-Bulk. Energies are from PBE. Values from VASP.

Values from the calculation:
**D(E_F)**: 4.04 states/eV per cell
**Total energy**: -4.571 eV per atom
**Total moment**: 0.05 μB/atom
**Formation energy from the elements**: 53.6 kJ per mole of atoms

```
&SYSTEM
  ibrav = 0, nat = 4, ntyp = 3
/
ATOMIC_SPECIES
Li 6.94 Li.upf
Be 9.01 Be.upf
W 183.84 W.upf
CELL_PARAMETERS angstrom
2.468 -4.612 0.000
2.468 4.612 0.000
0.000 0.000 2.467
ATOMIC_POSITIONS angstrom
Li 1.234 2.306 0.000
Li 1.234 -2.306 0.000
Be 0.000 0.000 1.234
W 2.468 0.000 1.234
```

(9)
Here is an optimized crystal structure of Li2BeW from Alexandria via LeMat-Bulk. Energies are from PBE. Values from VASP.

Values from the calculation:
**D(E_F)**: 2.36 states/eV per cell
**Total energy**: -4.556 eV per atom
**Total moment**: 0.00 μB/atom
**Formation energy from the elements**: 55.1 kJ per mole of atoms

```
&SYSTEM
  ibrav = 0, nat = 4, ntyp = 3
/
ATOMIC_SPECIES
Li 6.94 Li.upf
Be 9.01 Be.upf
W 183.84 W.upf
CELL_PARAMETERS angstrom
-1.672 1.672 4.683
1.672 -1.672 4.683
1.672 1.672 -4.683
ATOMIC_POSITIONS angstrom
Li 1.672 0.000 2.341
Li 0.000 1.672 2.341
Be 0.000 0.000 0.000
W 0.000 0.000 4.683
```

(10)
Here is an optimized crystal structure of Li2BeW from Alexandria via LeMat-Bulk. Energies are from PBE. Values from VASP.

Values from the calculation:
**D(E_F)**: 2.09 states/eV per cell
**Total energy**: -4.708 eV per atom
**Total moment**: 0.00 μB/atom
**Formation energy from the elements**: 40.4 kJ per mole of atoms

```
&SYSTEM
  ibrav = 0, nat = 4, ntyp = 3
/
ATOMIC_SPECIES
Li 6.94 Li.upf
Be 9.01 Be.upf
W 183.84 W.upf
CELL_PARAMETERS angstrom
2.449 0.000 0.000
0.000 4.780 0.000
-0.192 0.000 4.643
ATOMIC_POSITIONS angstrom
Li 0.320 0.000 1.125
Li 1.937 0.000 3.518
Be -0.096 2.390 2.322
W 1.224 2.390 0.000
```

(11)
Here is an optimized crystal structure of LiZr2BeW from Alexandria via LeMat-Bulk. Energies are from PBE. Values from VASP.

Values from the calculation:
**D(E_F)**: 3.26 states/eV per cell
**Total energy**: -5.866 eV per atom
**Total moment**: 0.00 μB/atom
**Formation energy from the elements**: 122.7 kJ per mole of atoms

```
&SYSTEM
  ibrav = 0, nat = 5, ntyp = 4
/
ATOMIC_SPECIES
Li 6.94 Li.upf
Zr 91.22 Zr.upf
Be 9.01 Be.upf
W 183.84 W.upf
CELL_PARAMETERS angstrom
4.970 0.000 0.000
0.000 4.970 0.000
0.000 0.000 4.821
ATOMIC_POSITIONS angstrom
Li 0.000 0.000 0.000
Zr 0.000 2.485 2.411
Zr 2.485 0.000 2.411
Be 2.485 2.485 0.000
W 0.000 0.000 2.411
```

(12)
Here is an optimized crystal structure of Li2YBe from Alexandria via LeMat-Bulk. Energies are from PBE. Values from VASP.

Values from the calculation:
**D(E_F)**: 3.21 states/eV per cell
**Total energy**: -3.318 eV per atom
**Total moment**: 0.05 μB/atom
**Formation energy from the elements**: 18.0 kJ per mole of atoms

```
&SYSTEM
  ibrav = 0, nat = 4, ntyp = 3
/
ATOMIC_SPECIES
Li 6.94 Li.upf
Y 88.91 Y.upf
Be 9.01 Be.upf
CELL_PARAMETERS angstrom
3.348 0.000 0.000
0.000 3.297 0.000
-0.031 0.000 7.132
ATOMIC_POSITIONS angstrom
Li 0.000 0.000 0.000
Li 1.665 1.649 1.619
Y 1.657 1.649 4.657
Be 3.335 0.000 2.972
```